No. 1
Here is Na3Cd3Sn2 after structural relaxation from Alexandria via LeMat-Bulk. Energies are from PBE.

Cell: 4.871 6.303 15.844 Å, 90.00 90.00 112.73°
Element x y z (fractional)
Cd: 0.376 0.752 0.250
Cd: 0.624 0.248 0.750
Cd: 0.611 0.221 0.459
Cd: 0.389 0.779 0.541
Cd: 0.389 0.779 0.959
Cd: 0.611 0.221 0.041
Na: 0.652 0.304 0.250
Na: 0.924 0.849 0.395
Na: 0.348 0.696 0.750
Na: 0.076 0.151 0.895
Na: 0.076 0.151 0.605
Na: 0.924 0.849 0.105
Sn: 0.217 0.433 0.105
Sn: 0.217 0.433 0.395
Sn: 0.783 0.567 0.605
Sn: 0.783 0.567 0.895

As for the volume: 448.7 Å³/cell. As for the crystal system: orthorhombic. As for the formation energy from the elements: -76 kJ/mol of formula units. Its symmetry is Cmcm, No. 63.


No. 2
Here is Na12Cd3Sn after structural relaxation from Alexandria via LeMat-Bulk. Energies are from PBE.

Cell: 4.920 4.920 19.707 Å, 90.00 90.00 90.00°
Element x y z (fractional)
Cd: 0.000 0.000 0.500
Cd: 0.000 0.000 0.754
Cd: 0.000 0.000 0.246
Na: 0.500 0.500 0.500
Na: 0.000 0.500 0.120
Na: 0.500 0.000 0.375
Na: 0.500 0.500 0.000
Na: 0.000 0.500 0.625
Na: 0.500 0.500 0.249
Na: 0.500 0.000 0.120
Na: 0.500 0.000 0.880
Na: 0.500 0.000 0.625
Na: 0.500 0.500 0.751
Na: 0.000 0.500 0.375
Na: 0.000 0.500 0.880
Sn: 0.000 0.000 0.000

As for the volume: 477.0 Å³/cell. As for the crystal system: tetragonal. As for the formation energy from the elements: -84 kJ/mol of formula units. Its symmetry is P4/mmm, No. 123.


No. 3
Here is NaCd4Sn4 after structural relaxation from Alexandria via LeMat-Bulk. Energies are from PBE.

Cell: 6.188 9.508 9.508 Å, 90.00 90.00 90.00°
Element x y z (fractional)
Sn: 0.373 0.644 0.160
Sn: 0.127 0.144 0.660
Sn: 0.627 0.840 0.644
Sn: 0.873 0.340 0.144
Sn: 0.873 0.660 0.856
Sn: 0.373 0.356 0.840
Sn: 0.127 0.856 0.340
Sn: 0.627 0.160 0.356
Na: 0.000 0.000 0.000
Na: 0.500 0.500 0.500
Cd: 0.373 0.669 0.854
Cd: 0.627 0.854 0.331
Cd: 0.873 0.354 0.831
Cd: 0.127 0.169 0.354
Cd: 0.373 0.331 0.146
Cd: 0.627 0.146 0.669
Cd: 0.127 0.831 0.646
Cd: 0.873 0.646 0.169

Its relative energy among the computed polymorphs is 59 meV/atom. As for the volume: 559.5 Å³/cell. As for the crystal system: tetragonal. As for the formation energy from the elements: 49 kJ/mol of formula units. Its symmetry is P4_2/n, No. 86.


- Which of these has the lowest volume?
  Na3Cd3Sn2


- What is the volume in the first record?
  448.7 Å³/cell


- Among the records above, which one has the highest formation energy from the elements?
  NaCd4Sn4